Record 1
Density functional theory data (PBE-GGA) for an optimized crystal structure of Sc2Sb2Ir.

Summary:
- Theoretical density: 8.22 g cm⁻³
- Total DFT energy (no corrections): -6.510 eV per atom
- Density of states at the Fermi level: 9.11 states/eV/cell

abc: 6.958 6.958 4.389
angles: 90.00 90.00 90.00
Sites, in units of the cell vectors:
Sc 0.164 0.664 0.500
Sc 0.664 0.836 0.500
Sc 0.836 0.336 0.500
Sc 0.336 0.164 0.500
Sb 0.352 0.852 0.000
Sb 0.852 0.648 0.000
Sb 0.648 0.148 0.000
Sb 0.148 0.352 0.000
Ir 0.000 0.000 0.000
Ir 0.500 0.500 0.000

Record 2
Density functional theory data (PBE-GGA) for an optimized crystal structure of Sc2SbIr.

Summary:
- Theoretical density: 8.64 g cm⁻³
- Total DFT energy (no corrections): -7.132 eV per atom
- Density of states at the Fermi level: 3.22 states/eV/cell

abc: 4.470 4.470 3.886
angles: 90.01 90.01 90.01
Sites, in units of the cell vectors:
Ir 0.500 0.000 0.500
Sb 0.000 0.500 0.500
Sc 0.000 0.000 0.000
Sc 0.500 0.500 0.000

Question: Which formula does entry 1 have?
Answer: Sc2Sb2Ir

Repeat the first record exactly.
Density functional theory data (PBE-GGA) for an optimized crystal structure of Sc2Sb2Ir.

Summary:
- Theoretical density: 8.22 g cm⁻³
- Total DFT energy (no corrections): -6.510 eV per atom
- Density of states at the Fermi level: 9.11 states/eV/cell

abc: 6.958 6.958 4.389
angles: 90.00 90.00 90.00
Sites, in units of the cell vectors:
Sc 0.164 0.664 0.500
Sc 0.664 0.836 0.500
Sc 0.836 0.336 0.500
Sc 0.336 0.164 0.500
Sb 0.352 0.852 0.000
Sb 0.852 0.648 0.000
Sb 0.648 0.148 0.000
Sb 0.148 0.352 0.000
Ir 0.000 0.000 0.000
Ir 0.500 0.500 0.000

Question: Look up the theoretical density of the first one.
Answer: 8.22 g cm⁻³